DFT (PBE-GGA) results for TlZn2Te after structural relaxation.

Summary:
**Total magnetization**: 0.000 μB/cell
**Energy above the lowest structure with this stoichiometry**: 0.019 eV per atom

a = 4.108 Å, b = 4.108 Å, c = 7.299 Å
α = 73.03°, β = 73.03°, γ = 60.88°
Sites, in units of the cell vectors:
Te  0.750  0.750  0.750
Tl  0.250  0.250  0.250
Zn  0.007  0.007  0.976
Zn  0.493  0.493  0.524